1.
## Tb6Ho3Th2Sc (PBE)

Data for crystalline Tb6Ho3Th2Sc at its relaxed geometry.

```
Tb6Ho3Th2Sc
1.0
-2.391 4.570 -3.266
-1.717 -5.756 -1.094
-7.156 1.469 9.202
Tb Ho Th Sc
6 3 2 1
direct
0.918 0.586 0.753
0.749 0.749 0.247
0.082 0.414 0.247
0.586 0.918 0.753
0.251 0.251 0.753
0.414 0.082 0.247
0.167 0.833 0.500
0.833 0.167 0.500
0.500 0.500 0.500
0.334 0.666 0.000
0.666 0.334 0.000
0.000 0.000 0.000
```

Output
The calculation puts the energy of formation from the pure elements at 0.030 eV/atom. For the calculated volume, the calculation gives 31.13 Å³ per atom.

---

2.
## Pr2PuTh (PBE)

Data for crystalline Pr2PuTh at its relaxed geometry.

```
Pr2PuTh
1.0
5.210 0.000 0.000
0.000 4.981 0.000
0.000 0.000 4.981
Pr Th Pu
2 1 1
direct
0.000 0.000 0.500
0.000 0.500 0.000
0.500 0.000 0.000
0.500 0.500 0.500
```

Output
The calculation puts the energy of formation from the pure elements at 0.164 eV/atom. For the calculated volume, the calculation gives 32.32 Å³ per atom.

---

3.
## In2CuIr (PBE)

Data for crystalline In2CuIr at its relaxed geometry.

```
In2CuIr
1.0
-2.214 -7.883 2.884
-2.845 -8.199 -0.169
0.075 -8.636 0.881
Cu In Ir
1 2 1
direct
0.750 0.750 0.750
0.000 0.000 0.000
0.500 0.500 0.500
0.250 0.250 0.250
```

Output
The calculation puts the energy of formation from the pure elements at 0.176 eV/atom. For the calculated volume, the calculation gives 18.05 Å³ per atom.

---

4.
## Sm2NiBr2 (PBE)

Data for crystalline Sm2NiBr2 at its relaxed geometry.

```
Sm2NiBr2
1.0
3.919 0.000 0.725
1.893 3.432 0.725
-0.038 -0.022 11.164
Sm Ni Br
2 1 2
direct
0.617 0.617 0.148
0.383 0.383 0.852
0.000 0.000 0.000
0.224 0.224 0.329
0.776 0.776 0.671
```

Output
The uncorrected formation energy comes out at -1.12 eV per atom. For the calculated volume, the calculation gives 30.06 Å³ per atom.

---

Question: Which value of calculated volume does entry 4 give?
Answer: 30.06 Å³ per atom

---

Question: Among the records above, which one has the highest calculated volume?
Answer: Pr2PuTh

---

Question: calculated volume of number 2 (Pr2PuTh)?
Answer: 32.32 Å³ per atom

---

Question: Number 1 is which compound?
Answer: Tb6Ho3Th2Sc